Record 1
Density functional theory data (PBE-GGA) for crystalline TiSi2H at its relaxed geometry.

Results
Energy above the lowest structure with this stoichiometry: 206 meV per atom
Electronic total energy: -19.8 eV/cell
Magnetic moment: 0.00 μB/cell

Unit cell a=4.226 b=4.226 c=4.226 alpha=60.00 beta=60.00 gamma=60.00
Sites, in units of the cell vectors:
Ti  0.500  0.500  0.500
Si  0.750  0.750  0.750
Si  0.250  0.250  0.250
H  0.000  0.000  0.000

Record 2
Density functional theory data (PBE-GGA) for crystalline Ti6SiH2 at its relaxed geometry.

Results
Electronic total energy: -60.7 eV/cell
Magnetic moment: 0.00 μB/cell

Unit cell a=3.729 b=5.292 c=7.246 alpha=73.57 beta=75.09 gamma=69.37
Sites, in units of the cell vectors:
Si  0.000  0.500  0.500
Ti  0.685  0.733  0.896
Ti  0.315  0.267  0.104
Ti  0.316  0.792  0.577
Ti  0.001  0.815  0.183
Ti  0.999  0.185  0.817
Ti  0.684  0.208  0.423
H  0.842  0.209  0.107
H  0.158  0.791  0.893

Record 3
Density functional theory data (PBE-GGA) for crystalline Ti2SiH at its relaxed geometry.

Results
Energy above the lowest structure with this stoichiometry: 492 meV per atom
Electronic total energy: -25.0 eV/cell
Magnetic moment: 0.00 μB/cell

Unit cell a=4.209 b=4.209 c=4.209 alpha=60.00 beta=60.00 gamma=60.00
Sites, in units of the cell vectors:
Si  0.500  0.500  0.500
Ti  0.750  0.750  0.750
Ti  0.250  0.250  0.250
H  0.000  0.000  0.000

Record 4
Density functional theory data (PBE-GGA) for crystalline Ti4SiH at its relaxed geometry.

Results
Electronic total energy: -83.1 eV/cell
Magnetic moment: 0.00 μB/cell

Unit cell a=5.195 b=6.215 c=5.313 alpha=90.00 beta=97.92 gamma=90.00
Sites, in units of the cell vectors:
Ti  0.054  0.370  0.827
Ti  0.660  0.683  0.634
Ti  0.840  0.183  0.366
Ti  0.446  0.870  0.173
Ti  0.160  0.817  0.634
Ti  0.946  0.630  0.173
Ti  0.554  0.130  0.827
Ti  0.340  0.317  0.366
H  0.000  0.500  0.500
H  0.500  0.000  0.500
Si  0.000  0.000  0.000
Si  0.500  0.500  0.000

Record 5
Density functional theory data (PBE-GGA) for crystalline Ti2SiH at its relaxed geometry.

Results
Energy above the lowest structure with this stoichiometry: 165 meV per atom
Electronic total energy: -52.6 eV/cell
Magnetic moment: 0.00 μB/cell

Unit cell a=5.923 b=5.923 c=5.071 alpha=54.27 beta=54.27 gamma=90.00
Sites, in units of the cell vectors:
Si  0.000  0.000  0.000
Si  0.750  0.250  0.500
Ti  0.544  0.125  0.250
Ti  0.875  0.794  0.750
Ti  0.375  0.456  0.750
Ti  0.206  0.625  0.250
H  0.250  0.750  0.500
H  0.500  0.500  0.000

Record 6
Density functional theory data (PBE-GGA) for crystalline Ti2SiH2 at its relaxed geometry.

Results
Energy above the lowest structure with this stoichiometry: 13 meV per atom
Electronic total energy: -60.3 eV/cell
Magnetic moment: 0.00 μB/cell

Unit cell a=4.881 b=4.881 c=5.463 alpha=103.52 beta=103.52 gamma=118.49
Sites, in units of the cell vectors:
Ti  0.205  0.295  0.750
Ti  0.455  0.045  0.250
Ti  0.545  0.955  0.750
Ti  0.795  0.705  0.250
H  0.498  0.249  0.998
H  0.502  0.751  0.002
H  0.749  0.998  0.498
H  0.251  0.002  0.502
Si  0.125  0.375  0.250
Si  0.875  0.625  0.750

Record 7
Density functional theory data (PBE-GGA) for crystalline Ti2SiH2 at its relaxed geometry.

Results
Energy above the lowest structure with this stoichiometry: 0 meV per atom
Electronic total energy: -30.2 eV/cell
Magnetic moment: 0.00 μB/cell

Unit cell a=3.409 b=3.409 c=4.967 alpha=69.93 beta=69.93 gamma=90.00
Sites, in units of the cell vectors:
Ti  0.658  0.658  0.685
Ti  0.342  0.342  0.315
Si  0.000  0.000  0.000
H  0.750  0.250  0.500
H  0.250  0.750  0.500

Record 8
Density functional theory data (PBE-GGA) for crystalline Ti8Si2H3 at its relaxed geometry.

Results
Electronic total energy: -87.2 eV/cell
Magnetic moment: 0.00 μB/cell

Unit cell a=5.050 b=5.300 c=7.700 alpha=110.13 beta=111.72 gamma=90.00
Sites, in units of the cell vectors:
H  0.500  0.000  0.000
H  0.000  0.239  0.000
H  0.000  0.761  0.000
Ti  0.095  0.915  0.831
Ti  0.425  0.839  0.187
Ti  0.089  0.709  0.418
Ti  0.905  0.085  0.169
Ti  0.425  0.348  0.187
Ti  0.911  0.291  0.582
Ti  0.575  0.652  0.813
Ti  0.575  0.161  0.813
Si  0.651  0.760  0.521
Si  0.349  0.240  0.479

Record 9
Density functional theory data (PBE-GGA) for crystalline Ti5Si2H2 at its relaxed geometry.

Results
Electronic total energy: -61.2 eV/cell
Magnetic moment: 0.39 μB/cell

Unit cell a=3.519 b=5.092 c=6.826 alpha=83.17 beta=90.00 gamma=110.21
Sites, in units of the cell vectors:
Si  0.574  0.149  0.261
Si  0.426  0.851  0.739
Ti  0.713  0.427  0.852
Ti  0.868  0.737  0.449
Ti  0.287  0.573  0.148
Ti  0.000  0.000  0.000
Ti  0.132  0.263  0.551
H  0.841  0.683  0.179
H  0.159  0.317  0.821

Record 10
Density functional theory data (PBE-GGA) for crystalline Ti3Si2H2 at its relaxed geometry.

Results
Electronic total energy: -88.9 eV/cell
Magnetic moment: 0.00 μB/cell

Unit cell a=5.161 b=7.340 c=5.085 alpha=90.00 beta=58.90 gamma=90.00
Sites, in units of the cell vectors:
Si  0.380  0.763  0.785
Si  0.120  0.263  0.215
Si  0.880  0.737  0.785
Si  0.620  0.237  0.215
Ti  0.643  0.125  0.706
Ti  0.500  0.500  0.000
Ti  0.857  0.625  0.294
Ti  0.357  0.875  0.294
Ti  0.143  0.375  0.706
Ti  0.000  0.000  0.000
H  0.450  0.624  0.349
H  0.950  0.876  0.349
H  0.050  0.124  0.651
H  0.550  0.376  0.651

Record 11
Density functional theory data (PBE-GGA) for crystalline TiSi2H at its relaxed geometry.

Results
Energy above the lowest structure with this stoichiometry: 0 meV per atom
Electronic total energy: -41.2 eV/cell
Magnetic moment: 0.00 μB/cell

Unit cell a=4.646 b=4.646 c=5.904 alpha=66.83 beta=66.83 gamma=90.00
Sites, in units of the cell vectors:
Si  0.329  0.625  0.250
Si  0.875  0.671  0.750
Si  0.375  0.579  0.750
Si  0.421  0.125  0.250
H  0.500  0.500  0.000
H  0.250  0.750  0.500
Ti  0.750  0.250  0.500
Ti  0.000  0.000  0.000

Record 12
Density functional theory data (PBE-GGA) for crystalline TiV2SiH at its relaxed geometry.

Results
Electronic total energy: -36.8 eV/cell
Magnetic moment: 0.00 μB/cell

Unit cell a=3.749 b=3.749 c=4.086 alpha=90.00 beta=90.00 gamma=90.00
Sites, in units of the cell vectors:
H  0.000  0.000  0.000
Si  0.500  0.500  0.500
V  0.000  0.500  0.000
V  0.500  0.000  0.000
Ti  0.000  0.000  0.500

Record 13
Density functional theory data (PBE-GGA) for crystalline TlSi3H at its relaxed geometry.

Results
Energy above the lowest structure with this stoichiometry: 0 meV per atom
Electronic total energy: -18.0 eV/cell
Magnetic moment: 0.00 μB/cell

Unit cell a=4.314 b=4.314 c=4.314 alpha=90.00 beta=90.00 gamma=90.00
Sites, in units of the cell vectors:
Si  0.000  0.500  0.000
Si  0.500  0.000  0.000
Si  0.000  0.000  0.500
Tl  0.500  0.500  0.500
H  0.000  0.000  0.000

Record 14
Density functional theory data (PBE-GGA) for crystalline TlSiH at its relaxed geometry.

Results
Energy above the lowest structure with this stoichiometry: 121 meV per atom
Electronic total energy: -39.9 eV/cell
Magnetic moment: 0.00 μB/cell

Unit cell a=7.105 b=4.740 c=7.771 alpha=90.00 beta=90.00 gamma=90.00
Sites, in units of the cell vectors:
Si  0.741  0.250  0.136
Si  0.759  0.750  0.636
Si  0.241  0.250  0.364
Si  0.259  0.750  0.864
Tl  0.685  0.750  0.975
Tl  0.185  0.750  0.525
Tl  0.315  0.250  0.025
Tl  0.815  0.250  0.475
H  0.434  0.250  0.451
H  0.934  0.250  0.049
H  0.566  0.750  0.549
H  0.066  0.750  0.951

Record 15
Density functional theory data (PBE-GGA) for crystalline TlSiH at its relaxed geometry.

Results
Energy above the lowest structure with this stoichiometry: 165 meV per atom
Electronic total energy: -39.4 eV/cell
Magnetic moment: 0.00 μB/cell

Unit cell a=7.150 b=6.326 c=5.141 alpha=90.00 beta=90.00 gamma=90.00
Sites, in units of the cell vectors:
Tl  0.500  0.000  0.500
Tl  0.000  0.000  0.000
Tl  0.000  0.500  0.000
Tl  0.500  0.500  0.500
Si  0.512  0.750  0.000
Si  0.488  0.250  0.000
Si  0.988  0.250  0.500
Si  0.012  0.750  0.500
H  0.796  0.750  0.500
H  0.296  0.750  0.000
H  0.204  0.250  0.500
H  0.704  0.250  0.000

Record 16
Density functional theory data (PBE-GGA) for crystalline TlSi3H12 at its relaxed geometry.

Results
Electronic total energy: -114.4 eV/cell
Magnetic moment: 0.00 μB/cell

Unit cell a=8.133 b=8.133 c=8.814 alpha=62.53 beta=62.53 gamma=60.00
Sites, in units of the cell vectors:
H  0.438  0.562  0.128
H  0.160  0.449  0.849
H  0.381  0.969  0.397
H  0.107  0.573  0.079
H  0.573  0.241  0.079
H  0.752  0.469  0.897
H  0.469  0.881  0.897
H  0.542  0.160  0.849
H  0.872  0.438  0.128
H  0.073  0.607  0.579
H  0.969  0.252  0.397
H  0.062  0.938  0.628
H  0.372  0.062  0.628
H  0.042  0.949  0.349
H  0.241  0.107  0.079
H  0.741  0.073  0.579
H  0.562  0.872  0.128
H  0.938  0.372  0.628
H  0.660  0.042  0.349
H  0.252  0.381  0.397
H  0.949  0.660  0.349
H  0.881  0.752  0.897
H  0.607  0.741  0.579
H  0.449  0.542  0.849
Tl  0.504  0.504  0.488
Tl  0.004  0.004  0.988
Si  0.955  0.052  0.488
Si  0.505  0.955  0.488
Si  0.552  0.455  0.988
Si  0.005  0.552  0.988
Si  0.455  0.005  0.988
Si  0.052  0.505  0.488

Record 17
Density functional theory data (PBE-GGA) for crystalline TlSiH at its relaxed geometry.

Results
Energy above the lowest structure with this stoichiometry: 224 meV per atom
Electronic total energy: -38.7 eV/cell
Magnetic moment: 0.00 μB/cell

Unit cell a=7.583 b=3.499 c=7.889 alpha=90.00 beta=90.00 gamma=90.00
Sites, in units of the cell vectors:
H  0.248  0.750  0.525
H  0.748  0.750  0.975
H  0.252  0.250  0.025
H  0.752  0.250  0.475
Si  0.749  0.250  0.998
Si  0.251  0.750  0.002
Si  0.751  0.750  0.498
Si  0.249  0.250  0.502
Tl  0.500  0.750  0.251
Tl  0.500  0.250  0.749
Tl  0.000  0.250  0.751
Tl  0.000  0.750  0.249

Record 18
Density functional theory data (PBE-GGA) for crystalline Tl2SiH at its relaxed geometry.

Results
Energy above the lowest structure with this stoichiometry: 0 meV per atom
Electronic total energy: -22.1 eV/cell
Magnetic moment: 0.00 μB/cell

Unit cell a=5.216 b=5.216 c=7.772 alpha=70.39 beta=70.39 gamma=90.00
Sites, in units of the cell vectors:
Tl  0.375  0.438  0.750
Tl  0.875  0.812  0.750
Tl  0.562  0.125  0.250
Tl  0.188  0.625  0.250
H  0.500  0.500  0.000
H  0.250  0.750  0.500
Si  0.000  0.000  0.000
Si  0.750  0.250  0.500

Record 19
Density functional theory data (PBE-GGA) for crystalline TlSi3H at its relaxed geometry.

Results
Energy above the lowest structure with this stoichiometry: 1146 meV per atom
Electronic total energy: -12.3 eV/cell
Magnetic moment: 0.77 μB/cell

Unit cell a=5.346 b=5.346 c=5.346 alpha=90.00 beta=90.00 gamma=90.00
Sites, in units of the cell vectors:
Si  0.500  0.000  0.000
Si  0.000  0.500  0.000
Si  0.000  0.000  0.500
H  0.500  0.500  0.500
Tl  0.000  0.000  0.000

Record 20
Density functional theory data (PBE-GGA) for crystalline TlSiH at its relaxed geometry.

Results
Energy above the lowest structure with this stoichiometry: 0 meV per atom
Electronic total energy: -62.1 eV/cell
Magnetic moment: 0.00 μB/cell

Unit cell a=5.907 b=9.317 c=8.388 alpha=85.47 beta=69.38 gamma=71.52
Sites, in units of the cell vectors:
Tl  0.540  0.082  0.338
Tl  0.040  0.582  0.838
Tl  0.756  0.114  0.871
Tl  0.480  0.859  0.677
Tl  0.984  0.359  0.177
Tl  0.259  0.614  0.371
Si  0.095  0.871  0.018
Si  0.515  0.870  0.017
Si  0.597  0.370  0.517
Si  0.017  0.371  0.518
Si  0.627  0.537  0.708
Si  0.128  0.037  0.208
H  0.080  0.960  0.380
H  0.078  0.229  0.621
H  0.575  0.228  0.620
H  0.577  0.728  0.120
H  0.072  0.729  0.121
H  0.579  0.460  0.880